Record 1
A plane-wave DFT calculation with PBE was carried out for an optimized crystal structure of YTa2Ir.

uncorrected energy = -9.746 eV/atom
energy above the most stable polymorph in this dataset = 195.3 meV/atom
ΔE_f = 0.01 eV per atom
volume = 76 Å³/cell

Unit cell a=4.7638 b=3.0100 c=5.4403 alpha=77.87 beta=90.00 gamma=90.00
With the nearest neighbours (Å) after each atom.
Sites, in units of the cell vectors:
1 Ta 0.0000 0.5372 0.5142  5 Ta 2.78-3.10, 2 Ir 2.84, 2 Y 3.00
2 Ta 0.0000 0.9628 0.9858  5 Ta 2.78-3.10, 2 Ir 2.84, 2 Y 3.00
3 Y 0.5000 0.2500 0.2500  2 Ir 2.82, 4 Ta 3.00, 2 Y 3.01
4 Ir 0.5000 0.7500 0.7500  2 Y 2.82, 4 Ta 2.84, 2 Ir 3.01

Record 2
A plane-wave DFT calculation with PBE was carried out for an optimized crystal structure of Cu3HgPd.

uncorrected energy = -2.810 eV/atom
energy above the most stable polymorph in this dataset = 0.0 meV/atom
ΔE_f = 0.75 eV per atom
volume = 104 Å³/cell

Unit cell a=4.6966 b=4.6966 c=4.6966 alpha=90.00 beta=90.00 gamma=90.00
With the nearest neighbours (Å) after each atom.
Sites, in units of the cell vectors:
1 Cu 0.0000 0.0000 0.5000  2 Pd 2.35
2 Cu 0.5000 0.0000 0.0000  2 Pd 2.35
3 Cu 0.0000 0.5000 0.0000  2 Pd 2.35
4 Hg 0.5000 0.5000 0.5000  12 Cu 3.32
5 Pd 0.0000 0.0000 0.0000  6 Cu 2.35

Record 3
A plane-wave DFT calculation with PBE was carried out for an optimized crystal structure of FeSb2CI.

uncorrected formation energy = 1.398 eV/atom
uncorrected energy = -4.098 eV/atom
energy above the most stable polymorph in this dataset = 0.0 meV/atom
volume = 110 Å³/cell

Unit cell a=4.7201 b=4.7201 c=4.9401 alpha=90.00 beta=90.00 gamma=90.00
With the nearest neighbours (Å) after each atom.
Sites, in units of the cell vectors:
1 Sb 0.0000 0.5000 0.0000  2 C 2.36
2 Sb 0.5000 0.0000 0.0000  2 C 2.36
3 Fe 0.5000 0.5000 0.5000  4 I 3.34, 8 Sb 3.42
4 C 0.0000 0.0000 0.0000  4 Sb 2.36, 2 I 2.47
5 I 0.0000 0.0000 0.5000  2 C 2.47

Record 4
A plane-wave DFT calculation with PBE was carried out for an optimized crystal structure of TlBrF2.

uncorrected formation energy = -1.246 eV/atom
uncorrected energy = -3.191 eV/atom
energy above the most stable polymorph in this dataset = 93.5 meV/atom
volume = 112 Å³/cell

Unit cell a=6.7686 b=6.7686 c=6.7686 alpha=39.34 beta=39.34 gamma=39.34
With the nearest neighbours (Å) after each atom.
Sites, in units of the cell vectors:
1 Br 0.0000 0.0000 0.0000  2 F 2.01
2 Tl 0.5000 0.5000 0.5000  6 F 2.85
3 F 0.8925 0.8925 0.8925  1 Br 2.01
4 F 0.1075 0.1075 0.1075  1 Br 2.01

Record 5
A plane-wave DFT calculation with PBE was carried out for an optimized crystal structure of Sm8Ho4Er.

uncorrected energy = -4.462 eV/atom
ΔE_f = 0.20 eV per atom
volume = 432 Å³/cell

Unit cell a=7.2513 b=7.2526 c=10.3590 alpha=90.00 beta=110.49 gamma=120.00
With the nearest neighbours (Å) after each atom.
Sites, in units of the cell vectors:
1 Sm 0.4258 0.2129 0.6387  9 Sm 3.69-3.79, 3 Ho 4.01
2 Sm 0.4979 0.2490 0.2931  1 Er 3.01, 2 Sm 3.29, 1 Ho 3.36
3 Sm 0.9560 0.7509 0.7069  1 Er 3.01, 2 Sm 3.29, 1 Ho 3.37
4 Sm 0.0440 0.7950 0.2932  1 Er 3.01, 2 Sm 3.29, 1 Ho 3.37
5 Sm 0.9560 0.2050 0.7068  1 Er 3.01, 2 Sm 3.29, 1 Ho 3.37
6 Sm 0.5742 0.7871 0.3613  9 Sm 3.69-3.79, 3 Ho 4.01
7 Sm 0.5021 0.7510 0.7069  1 Er 3.01, 2 Sm 3.29, 1 Ho 3.36
8 Sm 0.0440 0.2491 0.2931  1 Er 3.01, 2 Sm 3.29, 1 Ho 3.37
9 Ho 0.0000 0.0000 0.0000  6 Sm 3.36-3.37, 6 Ho 3.63
10 Ho 0.5000 0.0000 0.0000  4 Sm 3.54, 6 Ho 3.63
11 Ho 0.0000 0.5000 0.0000  4 Sm 3.54, 6 Ho 3.63
12 Ho 0.5000 0.5000 0.0000  4 Sm 3.54, 6 Ho 3.63
13 Er 0.0000 0.5000 0.5000  6 Sm 3.01

Record 6
A plane-wave DFT calculation with PBE was carried out for an optimized crystal structure of TbDyZnNi.

uncorrected energy = -4.416 eV/atom
energy above the most stable polymorph in this dataset = 25.5 meV/atom
ΔE_f = -0.34 eV per atom
volume = 84 Å³/cell

Unit cell a=4.9189 b=4.9189 c=4.9189 alpha=60.00 beta=60.00 gamma=60.00
With the nearest neighbours (Å) after each atom.
Sites, in units of the cell vectors:
1 Dy 0.5000 0.5000 0.5000  4 Ni 3.01, 4 Zn 3.01
2 Ni 0.7500 0.7500 0.7500  4 Tb 3.01, 4 Dy 3.01
3 Zn 0.2500 0.2500 0.2500  4 Tb 3.01, 4 Dy 3.01
4 Tb 0.0000 0.0000 0.0000  4 Ni 3.01, 4 Zn 3.01